Record 1
The following is a PBE calculation of a geometry-optimized KNbZn structure, from Alexandria via LeMat-Bulk.

Properties
Energy relative to the lowest polymorph listed for this composition: 0.298 eV/atom
DOS(E_F): 0.8653 states/eV/atom
Calculated total energy: -3.6195 eV per atom
E_form: 0.5275 eV per atom

Lattice parameters (Å, degrees): 13.377 4.985 5.107 90.00 90.00 90.00
Sites, in units of the cell vectors:
1 K 0.229 0.250 0.012
2 K 0.271 0.750 0.512
3 K 0.729 0.250 0.488
4 K 0.771 0.750 0.988
5 Nb 0.001 0.250 0.500
6 Nb 0.499 0.750 0.000
7 Nb 0.501 0.250 0.000
8 Nb 0.999 0.750 0.500
9 Zn 0.000 0.000 0.000
10 Zn 0.000 0.500 0.000
11 Zn 0.500 0.000 0.500
12 Zn 0.500 0.500 0.500

***

Record 2
The following is a PBE calculation of a geometry-optimized KNbZn structure, from Alexandria via LeMat-Bulk.

Properties
Energy relative to the lowest polymorph listed for this composition: 0.633 eV/atom
DOS(E_F): 0.6070 states/eV/atom
Calculated total energy: -3.2837 eV per atom
E_form: 0.8634 eV per atom

Lattice parameters (Å, degrees): 4.981 4.981 7.745 90.00 90.00 90.00
Sites, in units of the cell vectors:
1 K 0.250 0.250 0.148
2 K 0.750 0.750 0.852
3 Nb 0.250 0.250 0.589
4 Nb 0.750 0.750 0.411
5 Zn 0.250 0.750 0.500
6 Zn 0.750 0.250 0.500

***

Record 3
The following is a PBE calculation of a geometry-optimized KNbZn structure, from Alexandria via LeMat-Bulk.

Properties
Energy relative to the lowest polymorph listed for this composition: 0.265 eV/atom
DOS(E_F): 0.1353 states/eV/atom
Calculated total energy: -3.6522 eV per atom
E_form: 0.4949 eV per atom

Lattice parameters (Å, degrees): 5.028 4.733 7.275 90.00 90.20 90.00
Sites, in units of the cell vectors:
1 K 0.000 0.000 0.000
2 K 0.499 0.500 0.809
3 Nb 0.487 0.000 0.443
4 Nb 0.984 0.000 0.464
5 Zn 0.234 0.500 0.344
6 Zn 0.736 0.500 0.341